Entry 1:
{
  "formula": "Ac2Pm4Sn5",
  "functional": "PBE",
  "state": "relaxed",
  "sg": "C2/m (12)",
  "volume_a3_per_atom": 32.02,
  "total_magnetization_mub_per_atom": 0.000,
  "ef_ev_per_atom": -0.507,
  "lattice_angstrom": [[6.1769, -3.5362, 0.0000], [6.1769, 3.5362, 0.0000], [-4.4964, 0.0000, 8.0626]],
  "species": ["Ac", "Ac", "Pm", "Pm", "Pm", "Pm", "Sn", "Sn", "Sn", "Sn", "Sn"],
  "fractional_positions": [[0.0713, 0.0713, 0.2394], [0.9287, 0.9287, 0.7606], [0.2733, 0.2733, 0.0280], [0.3727, 0.3727, 0.6101], [0.6273, 0.6273, 0.3899], [0.7267, 0.7267, 0.9720], [0.0770, 0.6425, 0.3415], [0.3575, 0.9230, 0.6585], [0.5000, 0.5000, 0.0000], [0.6425, 0.0770, 0.3415], [0.9230, 0.3575, 0.6585]]
}

=====

Entry 2:
{
  "formula": "Ac2Zn2Sn",
  "functional": "PBE",
  "state": "relaxed",
  "relative_energy_kj_per_mol_fu": 0,
  "sg": "P4/mbm (127)",
  "volume_a3_per_atom": 28.55,
  "total_magnetization_mub_per_atom": 0.000,
  "ef_ev_per_atom": -0.434,
  "lattice_angstrom": [[7.6445, 0.0000, 0.0000], [0.0000, 7.6445, 0.0000], [0.0000, 0.0000, 4.8856]],
  "species": ["Ac", "Ac", "Ac", "Ac", "Zn", "Zn", "Zn", "Zn", "Sn", "Sn"],
  "fractional_positions": [[0.1780, 0.3220, 0.0000], [0.3220, 0.8220, 0.0000], [0.6780, 0.1780, 0.0000], [0.8220, 0.6780, 0.0000], [0.1194, 0.6194, 0.5000], [0.3806, 0.1194, 0.5000], [0.6194, 0.8806, 0.5000], [0.8806, 0.3806, 0.5000], [0.0000, 0.0000, 0.5000], [0.5000, 0.5000, 0.5000]]
}

=====

Entry 3:
{
  "formula": "ZrCrBr2",
  "functional": "PBE",
  "state": "relaxed",
  "relative_energy_kj_per_mol_fu": 227,
  "sg": "I-4m2 (119)",
  "volume_a3_per_atom": 22.29,
  "total_magnetization_mub_per_atom": 0.912,
  "raw_formation_energy_kj_per_mol_fu": 75,
  "lattice_angstrom": [[-1.9419, 1.9419, 5.9101], [1.9419, -1.9419, 5.9101], [1.9419, 1.9419, -5.9101]],
  "species": ["Zr", "Cr", "Br", "Br"],
  "fractional_positions": [[0.0000, 0.0000, 0.0000], [0.2500, 0.7500, 0.5000], [0.5000, 0.5000, 0.0000], [0.7500, 0.2500, 0.5000]]
}

=====

Entry 4:
{
  "formula": "Na3MnBr",
  "functional": "PBE",
  "state": "relaxed",
  "relative_energy_kj_per_mol_fu": 0,
  "sg": "Pm-3m (221)",
  "volume_a3_per_atom": 35.24,
  "total_magnetization_mub_per_atom": 0.979,
  "raw_formation_energy_kj_per_mol_fu": 31,
  "lattice_angstrom": [[5.6060, 0.0000, 0.0000], [0.0000, 5.6060, 0.0000], [0.0000, 0.0000, 5.6060]],
  "species": ["Na", "Na", "Na", "Mn", "Br"],
  "fractional_positions": [[0.0000, 0.0000, 0.5000], [0.0000, 0.5000, 0.0000], [0.5000, 0.0000, 0.0000], [0.5000, 0.5000, 0.5000], [0.0000, 0.0000, 0.0000]]
}

=====

Entry 5:
{
  "formula": "RbLi2TcB",
  "functional": "PBE",
  "state": "relaxed",
  "sg": "P4/mmm (123)",
  "volume_a3_per_atom": 25.04,
  "total_magnetization_mub_per_atom": 0.898,
  "ef_ev_per_atom": 1.636,
  "lattice_angstrom": [[4.7225, 0.0000, 0.0000], [0.0000, 4.7225, 0.0000], [0.0000, 0.0000, 5.6140]],
  "species": ["Rb", "Li", "Li", "Tc", "B"],
  "fractional_positions": [[0.0000, 0.0000, 0.0000], [0.0000, 0.5000, 0.5000], [0.5000, 0.0000, 0.5000], [0.5000, 0.5000, 0.0000], [0.0000, 0.0000, 0.5000]]
}

=====

Entry 6:
{
  "formula": "SrIn4As",
  "functional": "PBE",
  "state": "relaxed",
  "sg": "F-43m (216)",
  "volume_a3_per_atom": 28.33,
  "total_magnetization_mub_per_atom": 0.000,
  "ef_ev_per_atom": -0.040,
  "lattice_angstrom": [[0.0000, 4.3969, 4.3969], [4.3969, 0.0000, 4.3969], [4.3969, 4.3969, 0.0000]],
  "species": ["Sr", "In", "In", "In", "In", "As"],
  "fractional_positions": [[0.0000, 0.0000, 0.0000], [0.3756, 0.3756, 0.3756], [0.3756, 0.3756, 0.8732], [0.3756, 0.8732, 0.3756], [0.8732, 0.3756, 0.3756], [0.7500, 0.7500, 0.7500]]
}

=====

Entry 7:
{
  "formula": "Be2NbIr2",
  "functional": "PBE",
  "state": "relaxed",
  "relative_energy_kj_per_mol_fu": 195,
  "sg": "I4/mmm (139)",
  "volume_a3_per_atom": 13.56,
  "total_magnetization_mub_per_atom": 0.000,
  "ef_ev_per_atom": -0.112,
  "lattice_angstrom": [[-1.9664, 1.9664, 4.3837], [1.9664, -1.9664, 4.3837], [1.9664, 1.9664, -4.3837]],
  "species": ["Be", "Be", "Nb", "Ir", "Ir"],
  "fractional_positions": [[0.2500, 0.7500, 0.5000], [0.7500, 0.2500, 0.5000], [0.0000, 0.0000, 0.0000], [0.3562, 0.3562, 0.0000], [0.6438, 0.6438, 0.0000]]
}

=====

Entry 8:
{
  "formula": "La5Y4Tm4",
  "functional": "PBE",
  "state": "relaxed",
  "sg": "I4/m (87)",
  "volume_a3_per_atom": 33.46,
  "total_magnetization_mub_per_atom": 0.000,
  "ef_ev_per_atom": 0.033,
  "lattice_angstrom": [[-6.5268, 6.5268, 2.5525], [6.5268, -6.5268, 2.5525], [6.5268, 6.5268, -2.5525]],
  "species": ["La", "La", "La", "La", "La", "Y", "Y", "Y", "Y", "Tm", "Tm", "Tm", "Tm"],
  "fractional_positions": [[0.0000, 0.0000, 0.0000], [0.3074, 0.4594, 0.7668], [0.4594, 0.6926, 0.1520], [0.5406, 0.3074, 0.8480], [0.6926, 0.5406, 0.2332], [0.0766, 0.6141, 0.6907], [0.3859, 0.0766, 0.4626], [0.6141, 0.9234, 0.5374], [0.9234, 0.3859, 0.3093], [0.1553, 0.2342, 0.3895], [0.2342, 0.8447, 0.0788], [0.7658, 0.1553, 0.9212], [0.8447, 0.7658, 0.6105]]
}